Entry 1:
! PBE-GGA Y2AgSn2, optimized geometry; values from VASP
! * final energy: -5.348 eV/atom
! * DFT formation energy: -0.591 eV/atom
! * space-group type: No. 127
! * calculated density: 6744 kg/m³
! * energy relative to the lowest polymorph listed for this composition: 26 meV/atom
&SYSTEM
  ibrav = 0, nat = 10, ntyp = 3
/
ATOMIC_SPECIES
Y 88.91 Y.upf
Ag 107.87 Ag.upf
Sn 118.71 Sn.upf
CELL_PARAMETERS angstrom
7.4941 0.0000 0.0000
0.0000 7.4941 0.0000
0.0000 0.0000 4.5867
ATOMIC_POSITIONS angstrom
Y 1.2777 2.4694 0.0000
Y 2.4694 6.2164 0.0000
Y 5.0247 1.2777 0.0000
Y 6.2164 5.0247 0.0000
Ag 0.0000 0.0000 2.2933
Ag 3.7470 3.7470 2.2933
Sn 1.0235 4.7705 2.2933
Sn 2.7235 1.0235 2.2933
Sn 4.7705 6.4706 2.2933
Sn 6.4706 2.7235 2.2933



Entry 2:
! PBE-GGA TlP2Br, optimized geometry; values from VASP
! * final energy: -2.947 eV/atom
! * space-group type: No. 122
! * calculated density: 4988 kg/m³
! * energy relative to the lowest polymorph listed for this composition: 887 meV/atom
! * energy relative to the elements, uncorrected: 0.77 eV/atom
&SYSTEM
  ibrav = 0, nat = 16, ntyp = 3
/
ATOMIC_SPECIES
Tl 204.38 Tl.upf
P 30.97 P.upf
Br 79.90 Br.upf
CELL_PARAMETERS angstrom
5.6419 0.0000 0.0000
0.0000 5.6419 0.0000
0.0000 0.0000 14.4837
ATOMIC_POSITIONS angstrom
Tl 0.0000 0.0000 0.0000
Tl 0.0000 2.8209 3.6209
Tl 2.8209 0.0000 10.8628
Tl 2.8209 2.8209 7.2418
P 1.2733 1.4105 9.0523
P 1.4105 4.0942 12.6732
P 1.4105 4.3686 5.4314
P 1.5476 1.4105 1.8105
P 4.0942 4.2314 1.8105
P 4.2314 1.2733 5.4314
P 4.2314 1.5476 12.6732
P 4.3686 4.2314 9.0523
Br 0.0000 0.0000 7.2418
Br 0.0000 2.8209 10.8628
Br 2.8209 0.0000 3.6209
Br 2.8209 2.8209 0.0000